Material: LiPu2PaN5
Method: DFT, PBE-GGA
State: optimized geometry

Summary:
* uncorrected energy: -10.03 eV per atom
* DOS at the Fermi energy: 9.3 states/eV/f.u.
* crystal system: orthorhombic
* total moment: 7.00 μB per formula unit

Geometry as CIF:
```
data_LiPu2PaN5
_space_group_name_H-M_alt 'C m c 21'
_space_group_IT_number 36
_space_group_name_Hall 'C 2c -2'
_cell_length_a 3.4858
_cell_length_b 12.9216
_cell_length_c 11.1197
_cell_angle_alpha 90.00
_cell_angle_beta 90.00
_cell_angle_gamma 90.00
loop_
_atom_site_label
_atom_site_fract_x
_atom_site_fract_y
_atom_site_fract_z
Li1 0.0000 0.0054 0.0000
Pu1 0.0000 0.3762 0.2720
Pu2 0.0000 0.3833 0.6994
Pa1 0.0000 0.2954 0.0060
N1 0.0000 0.0306 0.8139
N2 0.0000 0.1391 0.0823
N3 0.0000 0.2083 0.3728
N4 0.0000 0.2129 0.6586
N5 0.0000 0.4522 0.0932
```